1.
The following is a DFT calculation (PBE) of crystalline Er4MgCd3 at its relaxed geometry.

Cell lengths 3.7335, 3.7335, 14.8316 Å; angles 90.00, 90.00, 90.00 degrees
Element x y z (fractional)
Mg: 0.5000 0.5000 0.0000
Cd: 0.5000 0.5000 0.2490
Cd: 0.5000 0.5000 0.5000
Cd: 0.5000 0.5000 0.7510
Er: 0.0000 0.0000 0.8732
Er: 0.0000 0.0000 0.1268
Er: 0.0000 0.0000 0.3756
Er: 0.0000 0.0000 0.6244

## Properties
* energy above the lowest structure with this stoichiometry: 0.00 eV/f.u.
* energy of formation from the pure elements: -24 kJ/mol of atoms
* magnetization: 0.0 μB per cell



2.
The following is a DFT calculation (PBE) of crystalline Pm2P4IrRu3 at its relaxed geometry.

Cell lengths 4.1597, 4.1597, 9.5242 Å; angles 90.00, 90.00, 90.00 degrees
Element x y z (fractional)
Pm: 0.5000 0.0000 0.2379
Pm: 0.0000 0.5000 0.7621
P: 0.5000 0.5000 0.0000
P: 0.0000 0.0000 0.0000
P: 0.5000 0.0000 0.6339
P: 0.0000 0.5000 0.3661
Ir: 0.5000 0.5000 0.5000
Ru: 0.0000 0.0000 0.5000
Ru: 0.5000 0.0000 0.8824
Ru: 0.0000 0.5000 0.1176

## Properties
* energy of formation from the pure elements: -92 kJ/mol of atoms
* magnetization: 0.0 μB per cell



3.
The following is a DFT calculation (PBE) of crystalline K2Np2FeS6 at its relaxed geometry.

Cell lengths 6.6905, 6.6905, 7.8466 Å; angles 98.07, 98.07, 119.70 degrees
Element x y z (fractional)
K: 0.8344 0.1656 0.0000
K: 0.1656 0.8344 0.0000
Np: 0.3326 0.6674 0.5000
Np: 0.6674 0.3326 0.5000
Fe: 0.0000 0.0000 0.5000
S: 0.7497 0.7497 0.6840
S: 0.0637 0.3878 0.6912
S: 0.2503 0.2503 0.3160
S: 0.3878 0.0637 0.6912
S: 0.9363 0.6122 0.3088
S: 0.6122 0.9363 0.3088

## Properties
* DFT total energy: -73.4 eV for the cell shown
* magnetization: 10.1 μB per cell



4.
The following is a DFT calculation (PBE) of crystalline AlAsPdBr2 at its relaxed geometry.

Cell lengths 5.3105, 5.3105, 4.8521 Å; angles 90.00, 90.00, 90.00 degrees
Element x y z (fractional)
As: 0.0000 0.0000 0.5000
Br: 0.0000 0.5000 0.0000
Br: 0.5000 0.0000 0.0000
Pd: 0.0000 0.0000 0.0000
Al: 0.5000 0.5000 0.5000

## Properties
* energy above the lowest structure with this stoichiometry: 0.00 eV/f.u.
* magnetization: 1.2 μB per cell



5.
The following is a DFT calculation (PBE) of crystalline VW2CSe at its relaxed geometry.

Cell lengths 4.7003, 3.6978, 4.7003 Å; angles 90.00, 90.00, 90.00 degrees
Element x y z (fractional)
C: 0.0000 0.5000 0.0000
Se: 0.5000 0.5000 0.5000
W: 0.0000 0.0000 0.5000
W: 0.5000 0.0000 0.0000
V: 0.0000 0.0000 0.0000

## Properties
* DFT total energy: -39.2 eV for the cell shown
* magnetization: 0.0 μB per cell



6.
The following is a DFT calculation (PBE) of crystalline Ba2Cd at its relaxed geometry.

Cell lengths 5.9344, 8.2559, 11.1074 Å; angles 90.00, 90.00, 90.00 degrees
Element x y z (fractional)
Ba: 0.2500 0.0255 0.8107
Ba: 0.7500 0.4745 0.3107
Ba: 0.2500 0.5255 0.6893
Ba: 0.7500 0.9745 0.1893
Ba: 0.2500 0.1617 0.4302
Ba: 0.7500 0.3383 0.9302
Ba: 0.2500 0.6617 0.0698
Ba: 0.7500 0.8383 0.5698
Cd: 0.2500 0.7279 0.3901
Cd: 0.7500 0.7721 0.8901
Cd: 0.2500 0.2279 0.1099
Cd: 0.7500 0.2721 0.6099

## Properties
* energy of formation from the pure elements: -20 kJ/mol of atoms
* magnetization: 0.0 μB per cell



7.
The following is a DFT calculation (PBE) of crystalline Al2CdCu2 at its relaxed geometry.

Cell lengths 3.6881, 3.6881, 6.7410 Å; angles 74.12, 74.12, 90.00 degrees
Element x y z (fractional)
Al: 0.3916 0.3916 0.2168
Al: 0.6084 0.6084 0.7832
Cu: 0.7500 0.2500 0.5000
Cu: 0.2500 0.7500 0.5000
Cd: 0.0000 0.0000 0.0000

## Properties
* energy of formation from the pure elements: 12 kJ/mol of atoms
* magnetization: 0.0 μB per cell



8.
The following is a DFT calculation (PBE) of crystalline Cs5Nd2Br12 at its relaxed geometry.

Cell lengths 8.6524, 10.8579, 11.7933 Å; angles 107.05, 90.00, 113.48 degrees
Element x y z (fractional)
Cs: 0.2922 0.5844 0.6420
Cs: 0.3065 0.6129 0.1604
Cs: 0.0000 0.0000 0.5000
Cs: 0.6935 0.3871 0.8396
Cs: 0.7078 0.4156 0.3580
Nd: 0.7505 0.0000 0.0000
Nd: 0.2495 0.0000 0.0000
Br: 0.0043 0.0086 0.1716
Br: 0.1071 0.6984 0.9284
Br: 0.5914 0.6984 0.9284
Br: 0.1360 0.7097 0.4331
Br: 0.5738 0.7097 0.4331
Br: 0.4957 0.9913 0.8270
Br: 0.5043 0.0087 0.1730
Br: 0.8640 0.2903 0.5669
Br: 0.4262 0.2903 0.5669
Br: 0.8929 0.3016 0.0716
Br: 0.4086 0.3016 0.0716
Br: 0.9957 0.9914 0.8284

## Properties
* DFT total energy: -66.2 eV for the cell shown
* magnetization: 1.1 μB per cell